Entry 1:
# Ca3Ru5 (PBE, relaxed)
data_Ca3Ru5
_cell_length_a 6.755
_cell_length_b 9.239
_cell_length_c 4.592
_cell_angle_alpha 90.00
_cell_angle_beta 90.00
_cell_angle_gamma 90.00
_space_group_name_H-M_alt 'C m m m'
_space_group_IT_number 65
_space_group_name_Hall '-C 2 2'
loop_
_atom_site_label
_atom_site_fract_x
_atom_site_fract_y
_atom_site_fract_z
_atom_site_occupancy
Ca1 0.000 0.000 0.000 1
Ca2 0.000 0.235 0.500 1
Ru1 0.000 0.500 0.000 1
Ru2 0.198 0.500 0.500 1
Ru3 0.250 0.250 0.000 1
# Crystal system   orthorhombic
# V   143.3 Å³/f.u.
# M_tot   0.61 μB per formula unit

Entry 2:
# CaRu (PBE, relaxed)
data_CaRu
_cell_length_a 3.855
_cell_length_b 12.874
_cell_length_c 5.910
_cell_angle_alpha 90.00
_cell_angle_beta 90.00
_cell_angle_gamma 90.00
_space_group_name_H-M_alt 'I m m 2'
_space_group_IT_number 44
_space_group_name_Hall 'I 2 -2'
loop_
_atom_site_label
_atom_site_fract_x
_atom_site_fract_y
_atom_site_fract_z
_atom_site_occupancy
Ca1 0.000 0.000 0.000 1
Ca2 0.000 0.283 0.716 1
Ru1 0.000 0.000 0.520 1
Ru2 0.000 0.396 0.148 1
# Crystal system   orthorhombic
# V   48.9 Å³/f.u.
# M_tot   0.00 μB per formula unit

Entry 3:
# Ca5Ru4 (PBE, relaxed)
data_Ca5Ru4
_cell_length_a 9.149
_cell_length_b 9.149
_cell_length_c 4.812
_cell_angle_alpha 90.00
_cell_angle_beta 90.00
_cell_angle_gamma 90.00
_space_group_name_H-M_alt 'I 4/m m m'
_space_group_IT_number 139
_space_group_name_Hall '-I 4 2'
loop_
_atom_site_label
_atom_site_fract_x
_atom_site_fract_y
_atom_site_fract_z
_atom_site_occupancy
Ca1 0.000 0.000 0.000 1
Ca2 0.181 0.181 0.500 1
Ru1 0.000 0.368 0.000 1
# Crystal system   tetragonal
# V   201.4 Å³/f.u.
# M_tot   0.00 μB per formula unit

Number 1: DOS at the Fermi energy 1.51 states/eV/atom, electronic total energy -6.03 eV per atom, calculated formation energy 0.516 eV per atom. Number 2: DOS at the Fermi energy 1.18 states/eV/atom, electronic total energy -5.32 eV per atom, calculated formation energy 0.318 eV per atom. Number 3: DOS at the Fermi energy 1.62 states/eV/atom, electronic total energy -4.75 eV per atom, calculated formation energy 0.482 eV per atom.